Crystalline Rb2In2Br5 at its relaxed geometry. Source: the Alexandria database, functional PBE-GGA.

Computed properties:
crystal system: orthorhombic
ΔE_f (raw): -1.162 eV/atom
N(E_F): 2.17 states/eV/cell

abc: 8.238 7.804 13.155
angles: 107.26 108.25 90.00
Positions (direct):
Br 0.762 0.744 0.025
In 0.795 0.782 0.500
In 0.000 0.981 0.000
Br 0.237 0.219 0.975
Br 0.174 0.101 0.244
In 0.500 0.481 0.000
Rb 0.871 0.379 0.786
Br 0.570 0.601 0.244
Br 0.763 0.244 0.025
Rb 0.129 0.593 0.214
In 0.205 0.282 0.500
Br 0.153 0.679 0.500
Br 0.238 0.719 0.975
Rb 0.586 0.093 0.214
Rb 0.414 0.879 0.786
Br 0.430 0.356 0.756
Br 0.847 0.179 0.500
Br 0.826 0.856 0.756



Crystalline GaRe3Pt at its relaxed geometry. Source: the Alexandria database, functional PBE-GGA.

Computed properties:
ΔE to the lowest computed polymorph: 2.54 eV per formula unit
crystal system: cubic
energy of formation: 2.4132 eV per atom
N(E_F): 7.20 states/eV/cell

abc: 4.777 4.777 4.777
angles: 90.00 90.00 90.00
Each line ends with the local moment (μB).
Positions (direct):
Re 0.500 0.000 0.000  0.58
Re 0.000 0.500 0.000  0.65
Re 0.000 0.000 0.500  0.88
Pt 0.000 0.000 0.000  -0.04
Ga 0.500 0.500 0.500  0.02